(1)
VASP calculation (PBE) on a relaxed PtPb2 crystal.

```
12
Lattice="6.139 0.000 0.000 0.000 7.084 0.000 0.000 0.000 7.138" Properties=species:S:1:pos:R:3 pbc="T T T"
Pb 3.718 2.507 1.013
Pb 3.718 1.035 4.582
Pb 0.648 1.035 6.125
Pb 0.648 2.507 2.556
Pb 2.421 6.049 2.556
Pb 5.490 4.578 4.582
Pb 2.421 4.578 6.125
Pb 5.490 6.049 1.013
Pt 0.000 3.542 0.000
Pt 0.000 0.000 3.569
Pt 3.069 0.000 0.000
Pt 3.069 3.542 3.569
```

Its symmetry is Pbca (61). The value obtained for the total energy is -4.61 eV per atom.


(2)
VASP calculation (PBE) on a relaxed ThSiSn crystal.

```
3
Lattice="1.904 -3.972 -2.052 -0.808 -4.372 1.960 -2.886 -3.184 -2.268" Properties=species:S:1:pos:R:3 pbc="T T T"
Th -1.343 -8.646 -1.770
Sn -0.448 -2.882 -0.590
Si 0.000 0.000 0.000
```

Its symmetry is F-43m (216). The relative energy among the computed polymorphs is 0 meV/atom.


(3)
VASP calculation (PBE) on a relaxed LiZrIr2 crystal.

```
8
Lattice="-3.146 -1.246 2.738 2.784 -2.939 -1.598 4.984 1.288 6.312" Properties=species:S:1:pos:R:3 pbc="T T T"
Ir 1.252 -2.260 0.410
Ir 3.371 -0.637 7.042
Ir 2.855 -1.845 2.441
Ir 1.767 -1.051 5.011
Li 3.738 0.966 4.734
Li 1.246 0.322 1.578
Zr 4.545 -1.408 4.581
Zr 0.077 -1.488 2.871
```

Its symmetry is P6_3/mmc (194). The relative energy among the computed polymorphs is 488 meV/atom.